[1]
Compound: SrAg6P2
Source: Alexandria
Functional: PBE-GGA
Structure: optimized geometry

Properties
Electronic total energy (eV per atom): -3.51
Total magnetization (Bohr magnetons per cell): 0.000
Formation energy (eV/atom): -0.22

a = 4.231 Å, b = 4.231 Å, c = 9.630 Å
α = 90.00°, β = 90.00°, γ = 90.00°
Element x y z (fractional)
Sr 0.000 0.000 0.000
Ag 0.500 0.500 0.500
Ag 0.500 0.000 0.714
Ag 0.000 0.000 0.500
Ag 0.500 0.000 0.286
Ag 0.000 0.500 0.714
Ag 0.000 0.500 0.286
P 0.500 0.500 0.117
P 0.500 0.500 0.883



[2]
Compound: MgGeAs2Se
Source: Alexandria
Functional: PBE-GGA
Structure: optimized geometry

Properties
E above lowest polymorph (meV/atom): 128.3
Electronic total energy (eV per atom): -3.22
Total magnetization (Bohr magnetons per cell): 0.000
Formation energy from raw total energies (eV per atom): 0.58

a = 4.925 Å, b = 4.925 Å, c = 5.132 Å
α = 90.00°, β = 90.00°, γ = 90.00°
Element x y z (fractional)
As 0.500 0.000 0.000
As 0.000 0.500 0.000
Mg 0.000 0.000 0.000
Ge 0.500 0.500 0.500
Se 0.000 0.000 0.500



[3]
Compound: Cu5Ni
Source: Alexandria
Functional: PBE-GGA
Structure: optimized geometry

Properties
E above lowest polymorph (meV/atom): 190.7
Electronic total energy (eV per atom): -4.19
Total magnetization (Bohr magnetons per cell): 0.000
Formation energy (eV/atom): 0.19

a = 4.714 Å, b = 4.714 Å, c = 4.714 Å
α = 60.00°, β = 60.00°, γ = 60.00°
Element x y z (fractional)
Cu 0.125 0.625 0.625
Cu 0.250 0.250 0.250
Cu 0.625 0.125 0.625
Cu 0.625 0.625 0.625
Cu 0.625 0.625 0.125
Ni 0.000 0.000 0.000